Material: KPd2N4
Method: DFT, PBE-GGA
State: relaxed

abc: 7.5738 7.6587 7.0724
angles: 39.38 53.38 34.21
With the nearest neighbours (Å) after each atom.
Sites, in units of the cell vectors:
K (0.0000, 0.0000, 0.0000)  4 N 3.18-3.25, 4 Pd 3.33-3.35
Pd (0.3224, 0.7305, 0.5901)  2 N 1.93-1.94
Pd (0.6776, 0.2695, 0.4099)  2 N 1.93-1.94
N (0.6569, 0.6611, 0.9980)  1 N 1.16
N (0.3431, 0.3389, 0.0020)  1 N 1.16
N (0.6564, 0.8932, 0.7646)  1 N 1.16
N (0.3436, 0.1068, 0.2354)  1 N 1.16

* uncorrected energy: -6.35 eV per atom
* raw formation energy: 0.04 eV/atom

---

Material: KPdN3
Method: DFT, PBE-GGA
State: relaxed

abc: 4.0542 4.0542 4.0542
angles: 90.00 90.00 90.00
With the nearest neighbours (Å) after each atom.
Sites, in units of the cell vectors:
K (0.5000, 0.5000, 0.5000)  12 N 2.87
Pd (0.0000, 0.0000, 0.0000)  6 N 2.03
N (0.0000, 0.5000, 0.0000)  2 Pd 2.03
N (0.0000, 0.0000, 0.5000)  2 Pd 2.03
N (0.5000, 0.0000, 0.0000)  2 Pd 2.03

* uncorrected energy: -4.45 eV per atom
* raw formation energy: 1.80 eV/atom

---

Material: KPd3N
Method: DFT, PBE-GGA
State: relaxed

abc: 5.2012 5.2012 5.2012
angles: 90.00 90.00 90.00
With the nearest neighbours (Å) after each atom.
Sites, in units of the cell vectors:
K (0.0000, 0.0000, 0.0000)  6 Pd 2.60
Pd (0.0000, 0.5000, 0.0000)  2 K 2.60
Pd (0.0000, 0.0000, 0.5000)  2 K 2.60
Pd (0.5000, 0.0000, 0.0000)  2 K 2.60
N (0.5000, 0.5000, 0.5000)  12 Pd 3.68

* uncorrected energy: -2.59 eV per atom
* raw formation energy: 2.41 eV/atom
* energy relative to the lowest polymorph listed for this composition: 2.106 eV/atom

---

Material: K3Pd4N
Method: DFT, PBE-GGA
State: relaxed

abc: 6.6129 11.4492 11.5063
angles: 90.00 90.00 90.00
With the nearest neighbours (Å) after each atom.
Sites, in units of the cell vectors:
K (0.6801, 0.7500, 0.1110)  1 N 2.93
K (0.0875, 0.0301, 0.1494)  8 Pd 3.39-3.71, 2 K 3.69-3.78
K (0.0875, 0.4699, 0.1494)  8 Pd 3.39-3.71, 2 K 3.69-3.78
K (0.5875, 0.5301, 0.3506)  8 Pd 3.39-3.71, 2 K 3.69-3.78
K (0.5875, 0.9699, 0.3506)  8 Pd 3.39-3.71, 2 K 3.69-3.78
K (0.1801, 0.2500, 0.3890)  1 N 2.93
K (0.8199, 0.7500, 0.6110)  1 N 2.93
K (0.4125, 0.0301, 0.6494)  8 Pd 3.39-3.71, 2 K 3.69-3.78
K (0.4125, 0.4699, 0.6494)  8 Pd 3.39-3.71, 2 K 3.69-3.78
K (0.9125, 0.5301, 0.8506)  8 Pd 3.39-3.71, 2 K 3.69-3.78
K (0.9125, 0.9699, 0.8506)  8 Pd 3.39-3.71, 2 K 3.69-3.78
K (0.3199, 0.2500, 0.8890)  1 N 2.93
Pd (0.8289, 0.2500, 0.9700)  1 N 1.97
Pd (0.5722, 0.4212, 0.0673)  1 N 1.98
Pd (0.5722, 0.0788, 0.0673)  1 N 1.98
Pd (0.7085, 0.2500, 0.2433)  1 N 1.96
Pd (0.2085, 0.7500, 0.2567)  1 N 1.96
Pd (0.0722, 0.9212, 0.4327)  1 N 1.98
Pd (0.0722, 0.5788, 0.4327)  1 N 1.98
Pd (0.3289, 0.7500, 0.5300)  1 N 1.97
Pd (0.6711, 0.2500, 0.4700)  1 N 1.97
Pd (0.9278, 0.4212, 0.5673)  1 N 1.98
Pd (0.9278, 0.0788, 0.5673)  1 N 1.98
Pd (0.7915, 0.2500, 0.7433)  1 N 1.96
Pd (0.2915, 0.7500, 0.7567)  1 N 1.96
Pd (0.4278, 0.9212, 0.9327)  1 N 1.98
Pd (0.4278, 0.5788, 0.9327)  1 N 1.98
Pd (0.1711, 0.7500, 0.0300)  1 N 1.97
N (0.6062, 0.2500, 0.0838)  4 Pd 1.96-1.98
N (0.1062, 0.7500, 0.4162)  4 Pd 1.96-1.98
N (0.8938, 0.2500, 0.5838)  4 Pd 1.96-1.98
N (0.3938, 0.7500, 0.9162)  4 Pd 1.96-1.98

* uncorrected energy: -3.89 eV per atom
* raw formation energy: 0.16 eV/atom

---

Material: KPdN
Method: DFT, PBE-GGA
State: relaxed

abc: 3.7738 3.7738 9.0746
angles: 90.00 90.00 90.00
With the nearest neighbours (Å) after each atom.
Sites, in units of the cell vectors:
K (0.0000, 0.0000, 0.2500)  4 N 2.95
K (0.0000, 0.0000, 0.7500)  4 N 2.95
Pd (0.5000, 0.5000, 0.5000)  2 N 1.89
Pd (0.5000, 0.5000, 0.0000)  2 N 1.89
N (0.5000, 0.0000, 0.5000)  2 Pd 1.89
N (0.0000, 0.5000, 0.0000)  2 Pd 1.89

* uncorrected energy: -4.65 eV per atom
* raw formation energy: 0.22 eV/atom
* energy relative to the lowest polymorph listed for this composition: 0.251 eV/atom

---

Material: K2Pd4N
Method: DFT, PBE-GGA
State: relaxed

abc: 4.2348 4.2348 9.4971
angles: 77.12 77.12 90.00
With the nearest neighbours (Å) after each atom.
Sites, in units of the cell vectors:
K (0.6645, 0.6645, 0.6711)  4 Pd 3.13
K (0.3355, 0.3355, 0.3289)  4 Pd 3.13
Pd (0.8870, 0.8870, 0.2260)  1 N 2.04
Pd (0.1130, 0.1130, 0.7740)  1 N 2.04
Pd (0.0000, 0.5000, 0.0000)  2 N 2.12
Pd (0.5000, 0.0000, 0.0000)  2 N 2.12
N (0.0000, 0.0000, 0.0000)  6 Pd 2.04-2.12

* uncorrected energy: -4.16 eV per atom
* raw formation energy: 0.31 eV/atom

---

Material: KPdN
Method: DFT, PBE-GGA
State: relaxed

abc: 10.6166 3.6828 6.5271
angles: 90.00 90.00 90.00
With the nearest neighbours (Å) after each atom.
Sites, in units of the cell vectors:
K (0.6600, 0.2500, 0.0849)  2 N 2.85-2.91
K (0.1600, 0.2500, 0.4151)  2 N 2.85-2.91
K (0.3400, 0.7500, 0.9151)  2 N 2.85-2.91
K (0.8400, 0.7500, 0.5849)  2 N 2.85-2.91
Pd (0.5529, 0.2500, 0.6188)  2 N 1.95
Pd (0.0529, 0.2500, 0.8812)  2 N 1.95
Pd (0.4471, 0.7500, 0.3812)  2 N 1.95
Pd (0.9471, 0.7500, 0.1188)  2 N 1.95
N (0.9178, 0.2500, 0.2058)  2 Pd 1.95
N (0.4178, 0.2500, 0.2942)  2 Pd 1.95
N (0.0822, 0.7500, 0.7942)  2 Pd 1.95
N (0.5822, 0.7500, 0.7058)  2 Pd 1.95

* uncorrected energy: -4.59 eV per atom
* raw formation energy: 0.28 eV/atom
* energy relative to the lowest polymorph listed for this composition: 0.307 eV/atom

---

Material: KPdN
Method: DFT, PBE-GGA
State: relaxed

abc: 4.0046 5.1141 7.0231
angles: 106.09 73.41 90.02
With the nearest neighbours (Å) after each atom.
Sites, in units of the cell vectors:
K (0.8793, 0.9098, 0.2416)  4 N 2.96-3.18
K (0.1207, 0.0902, 0.7584)  4 N 2.96-3.18
Pd (0.6794, 0.5432, 0.6415)  1 N 2.03
Pd (0.3206, 0.4568, 0.3585)  1 N 2.03
N (0.5234, 0.5803, 0.9504)  1 N 1.20
N (0.4766, 0.4197, 0.0496)  1 N 1.20

* uncorrected energy: -4.90 eV per atom
* raw formation energy: -0.03 eV/atom
* energy relative to the lowest polymorph listed for this composition: 0.000 eV/atom

---

Material: KPd3N
Method: DFT, PBE-GGA
State: relaxed

abc: 4.3316 4.3316 4.3316
angles: 90.00 90.00 90.00
With the nearest neighbours (Å) after each atom.
Sites, in units of the cell vectors:
K (0.5000, 0.5000, 0.5000)  12 Pd 3.06
Pd (0.0000, 0.5000, 0.0000)  2 N 2.17
Pd (0.0000, 0.0000, 0.5000)  2 N 2.17
Pd (0.5000, 0.0000, 0.0000)  2 N 2.17
N (0.0000, 0.0000, 0.0000)  6 Pd 2.17

* uncorrected energy: -4.70 eV per atom
* raw formation energy: 0.30 eV/atom
* energy relative to the lowest polymorph listed for this composition: 0.000 eV/atom

---

Material: KPdN
Method: DFT, PBE-GGA
State: relaxed

abc: 5.0825 5.0825 3.7449
angles: 90.00 90.00 120.00
With the nearest neighbours (Å) after each atom.
Sites, in units of the cell vectors:
K (0.0000, 0.0000, 0.5000)  3 N 2.93
Pd (0.6667, 0.3333, 0.0000)  2 N 1.87
N (0.6667, 0.3333, 0.5000)  2 Pd 1.87

* uncorrected energy: -4.61 eV per atom
* raw formation energy: 0.26 eV/atom
* energy relative to the lowest polymorph listed for this composition: 0.291 eV/atom

---

Material: K2PdN
Method: DFT, PBE-GGA
State: relaxed

abc: 11.4804 11.4804 8.3440
angles: 46.53 46.53 90.00
With the nearest neighbours (Å) after each atom.
Sites, in units of the cell vectors:
K (0.3827, 0.1250, 0.2500)  2 N 2.91, 2 Pd 3.22
K (0.3673, 0.6250, 0.2500)  2 N 2.91, 2 Pd 3.22
K (0.3750, 0.6173, 0.7500)  2 N 2.91, 2 Pd 3.22
K (0.8750, 0.6327, 0.7500)  2 N 2.91, 2 Pd 3.22
Pd (0.0000, 0.0000, 0.0000)  2 N 1.93
Pd (0.7500, 0.2500, 0.5000)  2 N 1.93
N (0.5000, 0.5000, 0.0000)  2 Pd 1.93
N (0.2500, 0.7500, 0.5000)  2 Pd 1.93

* uncorrected energy: -3.89 eV per atom
* raw formation energy: 0.04 eV/atom

---

Material: KPdS2N
Method: DFT, PBE-GGA
State: relaxed

abc: 5.3590 5.3590 4.3537
angles: 90.00 90.00 90.00
With the nearest neighbours (Å) after each atom.
Sites, in units of the cell vectors:
K (0.0000, 0.0000, 0.0000)  2 N 2.18
S (0.0000, 0.5000, 0.0000)  2 K 2.68
S (0.5000, 0.0000, 0.0000)  2 K 2.68
Pd (0.5000, 0.5000, 0.5000)  8 S 3.45, 4 N 3.79
N (0.0000, 0.0000, 0.5000)  2 K 2.18

* uncorrected energy: -2.32 eV per atom
* raw formation energy: 2.26 eV/atom
* energy relative to the lowest polymorph listed for this composition: 1.830 eV/atom

---

Please write out number 7 again, unchanged.
Material: KPdN
Method: DFT, PBE-GGA
State: relaxed

abc: 10.6166 3.6828 6.5271
angles: 90.00 90.00 90.00
With the nearest neighbours (Å) after each atom.
Sites, in units of the cell vectors:
K (0.6600, 0.2500, 0.0849)  2 N 2.85-2.91
K (0.1600, 0.2500, 0.4151)  2 N 2.85-2.91
K (0.3400, 0.7500, 0.9151)  2 N 2.85-2.91
K (0.8400, 0.7500, 0.5849)  2 N 2.85-2.91
Pd (0.5529, 0.2500, 0.6188)  2 N 1.95
Pd (0.0529, 0.2500, 0.8812)  2 N 1.95
Pd (0.4471, 0.7500, 0.3812)  2 N 1.95
Pd (0.9471, 0.7500, 0.1188)  2 N 1.95
N (0.9178, 0.2500, 0.2058)  2 Pd 1.95
N (0.4178, 0.2500, 0.2942)  2 Pd 1.95
N (0.0822, 0.7500, 0.7942)  2 Pd 1.95
N (0.5822, 0.7500, 0.7058)  2 Pd 1.95

* uncorrected energy: -4.59 eV per atom
* raw formation energy: 0.28 eV/atom
* energy relative to the lowest polymorph listed for this composition: 0.307 eV/atom

---

Please write out number 8 again, unchanged.
Material: KPdN
Method: DFT, PBE-GGA
State: relaxed

abc: 4.0046 5.1141 7.0231
angles: 106.09 73.41 90.02
With the nearest neighbours (Å) after each atom.
Sites, in units of the cell vectors:
K (0.8793, 0.9098, 0.2416)  4 N 2.96-3.18
K (0.1207, 0.0902, 0.7584)  4 N 2.96-3.18
Pd (0.6794, 0.5432, 0.6415)  1 N 2.03
Pd (0.3206, 0.4568, 0.3585)  1 N 2.03
N (0.5234, 0.5803, 0.9504)  1 N 1.20
N (0.4766, 0.4197, 0.0496)  1 N 1.20

* uncorrected energy: -4.90 eV per atom
* raw formation energy: -0.03 eV/atom
* energy relative to the lowest polymorph listed for this composition: 0.000 eV/atom

---

> Which value of uncorrected energy does entry 5 give?

-4.65 eV per atom